Entry from the Alexandria database: a geometry-optimized NaZnBiAu structure (PBE-GGA).

The space group is F-43m (No. 216) and the conventional cell measures 7.133, 7.133 and 7.133 Å, with angles of 90.00, 90.00 and 90.00 degrees. The distinct sites, in fractional coordinates, are Na at (0.000, 0.000, 0.000), Zn at (0.250, 0.250, 0.250), Bi at (0.000, 0.000, 0.500) and Au at (0.250, 0.250, 0.750).

---

Entry from the Alexandria database: a geometry-optimized NbBi3Au structure (PBE-GGA).

The space group is Pm-3m (No. 221) and the conventional cell measures 5.454, 5.454 and 5.454 Å, with angles of 90.00, 90.00 and 90.00 degrees. The distinct sites, in fractional coordinates, are Nb at (0.000, 0.000, 0.000), Bi at (0.000, 0.000, 0.500) and Au at (0.500, 0.500, 0.500).

As for the excess energy over the best structure of this formula in the dataset: 0 meV/atom.

---

no.,calculated formation energy (eV/atom),total energy (eV per atom)
1,-0.07,-2.509
2,0.53,-4.466